P.
Compound: BaSrAs2
Source: Alexandria via LeMat-Bulk
Functional: SCAN
Structure: PBEsol geometry

Cell lengths 6.135, 6.135, 4.833 Å; angles 98.23, 98.23, 42.53 degrees
Fractional positions:
Ba1 0.000 0.000 0.000
Sr1 0.257 0.257 0.472
As1 0.544 0.544 0.539
As2 0.722 0.722 0.913

Q.
Compound: BaSrAs2
Source: Alexandria via LeMat-Bulk
Functional: SCAN
Structure: PBEsol geometry

Cell lengths 6.739, 6.739, 6.739 Å; angles 143.86, 139.09, 55.72 degrees
Fractional positions:
Ba1 0.000 0.000 0.000
Sr1 0.258 0.758 0.500
As1 0.564 0.564 0.000
As2 0.743 0.243 0.500

P has the most favorable energy; the next structure is 295 meV per atom above.

P.
Compound: TlAgSb
Source: Alexandria via LeMat-Bulk
Functional: SCAN
Structure: PBEsol geometry

Cell lengths 4.885, 4.885, 4.885 Å; angles 60.00, 60.00, 60.00 degrees
Fractional positions:
Tl1 0.000 0.000 0.000
Ag1 0.500 0.500 0.500
Sb1 0.750 0.750 0.750

Q.
Compound: TlAgSb
Source: Alexandria via LeMat-Bulk
Functional: SCAN
Structure: PBEsol geometry

Cell lengths 4.916, 4.916, 3.513 Å; angles 90.00, 90.00, 120.00 degrees
Fractional positions:
Tl1 0.000 0.000 0.000
Ag1 0.667 0.333 0.497
Sb1 0.333 0.667 0.499

Q has the most favorable energy; the next structure is 115 meV per atom above.

P.
Compound: MnFe2W
Source: Alexandria via LeMat-Bulk
Functional: SCAN
Structure: PBEsol geometry

Cell lengths 3.976, 3.976, 3.031 Å; angles 90.00, 90.00, 90.00 degrees
Fractional positions:
Mn1 0.000 0.000 0.000
Fe1 0.000 0.500 0.500
Fe2 0.500 0.000 0.500
W1 0.500 0.500 0.000

Q.
Compound: MnFe2W
Source: Alexandria via LeMat-Bulk
Functional: SCAN
Structure: PBEsol geometry

Cell lengths 2.549, 4.008, 4.831 Å; angles 90.00, 100.83, 90.00 degrees
Fractional positions:
Mn1 0.000 0.000 0.000
Fe1 0.256 0.500 0.761
Fe2 0.492 0.000 0.525
W1 0.751 0.500 0.262

P has the most favorable energy; the next structure is 63 meV per atom above.

P.
Compound: TlCo2Ru
Source: Alexandria via LeMat-Bulk
Functional: SCAN
Structure: PBEsol geometry

Cell lengths 8.537, 8.537, 8.537 Å; angles 18.79, 18.79, 18.79 degrees
Fractional positions:
Tl1 0.000 0.000 0.000
Co1 0.243 0.243 0.243
Co2 0.757 0.757 0.757
Ru1 0.500 0.500 0.500

Q.
Compound: TlCo2Ru
Source: Alexandria via LeMat-Bulk
Functional: SCAN
Structure: PBEsol geometry

Cell lengths 5.019, 5.019, 5.019 Å; angles 145.12, 129.36, 62.96 degrees
Fractional positions:
Tl1 0.000 0.000 0.000
Co1 0.258 0.758 0.500
Co2 0.476 0.476 0.000
Ru1 0.727 0.227 0.500

Q has the most favorable energy; the next structure is 226 meV per atom above.